## A
A relaxed structure of LaTb7Sm4. Source: Alexandria, functional PBE.

a b c (Å): 6.293 7.263 8.961
angles (deg): 90.00 103.69 90.05
Space group P-1 (No. 2)
One atom of each set of equivalent atoms:
La (0.000, 0.000, 0.000) x1
Tb (0.000, 0.500, 0.000) x1
Tb (0.221, 0.000, 0.666) x2
Tb (0.279, 0.250, 0.334) x2
Tb (0.500, 0.250, 0.000) x2
Sm (0.221, 0.500, 0.667) x2
Sm (0.280, 0.750, 0.335) x2

## B
A relaxed structure of LaTb7Sm4. Source: Alexandria, functional PBE.

a b c (Å): 12.174 5.965 12.774
angles (deg): 90.00 117.92 90.00
Space group C2/m (No. 12)
One atom of each set of equivalent atoms:
La (0.000, 0.000, 0.000) x2
Tb (0.000, 0.500, 0.000) x2
Tb (0.060, 0.000, 0.330) x4
Tb (0.133, 0.500, 0.502) x4
Tb (0.210, 0.000, 0.922) x4
Sm (0.132, 0.500, 0.776) x4
Sm (0.246, 0.000, 0.680) x4

Structures ranked by computed energy, the most stable listed first: A, B.

## A
A relaxed structure of LaTb5Sm. Source: Alexandria, functional PBE.

a b c (Å): 11.846 6.875 12.234
angles (deg): 90.00 109.93 90.00
Space group C2/c (No. 15)
One atom of each set of equivalent atoms:
La (0.000, 0.027, 0.250) x4
Tb (0.000, 0.410, 0.750) x4
Tb (0.079, 0.277, 0.499) x8
Tb (0.219, 0.366, 0.251) x8
Sm (0.250, 0.250, 0.000) x4

## B
A relaxed structure of LaTb5Sm. Source: Alexandria, functional PBE.

a b c (Å): 5.788 8.671 11.856
angles (deg): 90.00 90.00 90.00
Space group Immm (No. 71)
One atom of each set of equivalent atoms:
La (0.000, 0.000, 0.000) x2
Tb (0.000, 0.000, 0.252) x4
Tb (0.000, 0.320, 0.500) x4
Tb (0.000, 0.500, 0.000) x2
Sm (0.000, 0.000, 0.500) x2

Structures ranked by computed energy, the most stable listed first: A, B.

## A
A relaxed structure of La4Tb2Sm3. Source: Alexandria, functional PBE.

a b c (Å): 13.074 3.715 14.696
angles (deg): 90.00 115.60 90.00
Space group C2/m (No. 12)
One atom of each set of equivalent atoms:
La (0.217, 0.000, 0.105) x4
La (0.222, 0.500, 0.372) x4
Tb (0.051, 0.000, 0.710) x4
Sm (0.000, 0.500, 0.500) x2
Sm (0.004, 0.500, 0.886) x4

## B
A relaxed structure of La4Tb2Sm3. Source: Alexandria, functional PBE.

a b c (Å): 15.554 5.209 8.159
angles (deg): 90.00 108.36 90.00
Space group C2/m (No. 12)
One atom of each set of equivalent atoms:
La (0.055, 0.000, 0.330) x4
La (0.223, 0.500, 0.331) x4
Tb (0.167, 0.000, 0.000) x4
Sm (0.000, 0.500, 0.000) x2
Sm (0.112, 0.500, 0.670) x4

Structures ranked by computed energy, the most stable listed first: B, A.

## A
A relaxed structure of LaTb6Sm. Source: Alexandria, functional PBE.

a b c (Å): 5.083 5.083 10.169
angles (deg): 90.00 90.00 90.00
Space group P4/mmm (No. 123)
One atom of each set of equivalent atoms:
La (0.000, 0.000, 0.000) x1
Tb (0.000, 0.500, 0.253) x4
Tb (0.500, 0.500, 0.000) x1
Tb (0.500, 0.500, 0.500) x1
Sm (0.000, 0.000, 0.500) x1

## B
A relaxed structure of LaTb6Sm. Source: Alexandria, functional PBE.

a b c (Å): 10.304 6.789 8.549
angles (deg): 90.00 105.02 90.00
Space group C2/m (No. 12)
One atom of each set of equivalent atoms:
La (0.000, 0.000, 0.000) x2
Tb (0.124, 0.500, 0.423) x4
Tb (0.199, 0.260, 0.799) x8
Sm (0.000, 0.000, 0.500) x2

Structures ranked by computed energy, the most stable listed first: A, B.